--- i ---
Density functional theory data (PBE-GGA) for a geometry-optimized Pm3NdPb4 structure. Values from VASP.

Computed properties:
As for the magnetic moment: 0.0 μB per cell. As for the space group: C2/m, No. 12.

```
&SYSTEM
  ibrav = 0, nat = 16, ntyp = 3
/
ATOMIC_SPECIES
Pm 145.00 Pm.upf
Nd 144.24 Nd.upf
Pb 207.20 Pb.upf
ATOMIC_POSITIONS angstrom
Pm 0.000 0.000 0.000
Pm 4.388 0.000 1.232
Pm 3.705 2.558 3.698
Pm 9.464 2.558 0.000
Pm 13.168 0.000 3.698
Pm 13.852 2.558 1.232
Nd -0.685 2.558 2.465
Nd 8.778 0.000 2.465
Pb 1.517 0.000 3.083
Pb 2.202 2.558 0.618
Pb 5.891 0.000 4.312
Pb 6.576 2.558 1.847
Pb 11.665 0.000 0.618
Pb 10.980 2.558 3.083
Pb 16.040 0.000 1.847
Pb 15.355 2.558 4.312
CELL_PARAMETERS angstrom
18.927 0.000 0.000
0.000 5.117 0.000
-1.370 0.000 4.930
```

=====

--- ii ---
Density functional theory data (PBE-GGA) for a geometry-optimized Pm3NdPb4 structure. Values from VASP.

Computed properties:
As for the magnetic moment: 0.0 μB per cell. As for the space group: Cmmm, No. 65.

```
&SYSTEM
  ibrav = 0, nat = 16, ntyp = 3
/
ATOMIC_SPECIES
Pm 145.00 Pm.upf
Nd 144.24 Nd.upf
Pb 207.20 Pb.upf
ATOMIC_POSITIONS angstrom
Pm 0.000 0.000 0.000
Pm 2.329 3.226 2.232
Pm 2.329 9.678 2.232
Pm 4.659 6.452 0.000
Pm 6.988 3.226 2.232
Pm 6.988 9.678 2.232
Nd 0.000 6.452 0.000
Nd 4.659 0.000 0.000
Pb 0.000 3.217 0.000
Pb 0.000 9.687 0.000
Pb 2.317 0.000 2.232
Pb 2.341 6.452 2.232
Pb 4.659 3.235 0.000
Pb 4.659 9.669 0.000
Pb 6.976 6.452 2.232
Pb 7.000 0.000 2.232
CELL_PARAMETERS angstrom
9.318 0.000 0.000
0.000 12.904 0.000
0.000 0.000 4.464
```

=====

Most stable to least stable, the ends of the list are i and ii.

=====

--- i ---
Density functional theory data (PBE-GGA) for a geometry-optimized PrNd2Pb structure. Values from VASP.

Computed properties:
As for the magnetic moment: 0.0 μB per cell. As for the space group: P4/mmm, No. 123.

```
&SYSTEM
  ibrav = 0, nat = 4, ntyp = 3
/
ATOMIC_SPECIES
Pr 140.91 Pr.upf
Nd 144.24 Nd.upf
Pb 207.20 Pb.upf
ATOMIC_POSITIONS angstrom
Pr 0.000 0.000 0.000
Nd 0.000 2.508 2.499
Nd 2.508 0.000 2.499
Pb 2.508 2.508 0.000
CELL_PARAMETERS angstrom
5.016 0.000 0.000
0.000 5.016 0.000
0.000 0.000 4.998
```

=====

--- ii ---
Density functional theory data (PBE-GGA) for a geometry-optimized PrNd2Pb structure. Values from VASP.

Computed properties:
As for the magnetic moment: 0.0 μB per cell. As for the space group: P4/mmm, No. 123.

```
&SYSTEM
  ibrav = 0, nat = 4, ntyp = 3
/
ATOMIC_SPECIES
Pr 140.91 Pr.upf
Nd 144.24 Nd.upf
Pb 207.20 Pb.upf
ATOMIC_POSITIONS angstrom
Pr 0.000 0.000 0.000
Nd 2.162 2.162 1.899
Nd 2.162 2.162 5.085
Pb 0.000 0.000 3.492
CELL_PARAMETERS angstrom
4.323 0.000 0.000
0.000 4.323 0.000
0.000 0.000 6.984
```

=====

Most stable to least stable, the ends of the list are i and ii.

=====

--- i ---
Density functional theory data (PBE-GGA) for a geometry-optimized PrNd6Pb structure. Values from VASP.

Computed properties:
As for the magnetic moment: 0.0 μB per cell. As for the space group: R-3, No. 148.

```
&SYSTEM
  ibrav = 0, nat = 8, ntyp = 3
/
ATOMIC_SPECIES
Pr 140.91 Pr.upf
Nd 144.24 Nd.upf
Pb 207.20 Pb.upf
ATOMIC_POSITIONS angstrom
Pr 0.000 0.000 0.000
Nd -1.179 -1.957 2.838
Nd 1.179 1.957 8.376
Nd -1.105 2.000 2.838
Nd 2.285 -0.043 2.838
Nd -2.285 0.043 8.376
Nd 1.105 -2.000 8.376
Pb 0.000 0.000 5.607
CELL_PARAMETERS angstrom
4.572 2.640 3.738
-4.572 2.640 3.738
0.000 -5.279 3.738
```

=====

--- ii ---
Density functional theory data (PBE-GGA) for a geometry-optimized PrNd6Pb structure. Values from VASP.

Computed properties:
As for the magnetic moment: 0.0 μB per cell. As for the space group: P4/mmm, No. 123.

```
&SYSTEM
  ibrav = 0, nat = 8, ntyp = 3
/
ATOMIC_SPECIES
Pr 140.91 Pr.upf
Nd 144.24 Nd.upf
Pb 207.20 Pb.upf
ATOMIC_POSITIONS angstrom
Pr 0.000 0.000 0.000
Nd 0.000 2.524 2.715
Nd 0.000 2.524 7.795
Nd 2.524 0.000 2.715
Nd 2.524 0.000 7.795
Nd 2.524 2.524 0.000
Nd 2.524 2.524 5.255
Pb 0.000 0.000 5.255
CELL_PARAMETERS angstrom
5.048 0.000 0.000
0.000 5.048 0.000
0.000 0.000 10.509
```

=====

Most stable to least stable, the ends of the list are ii and i.

=====

--- i ---
Density functional theory data (PBE-GGA) for a geometry-optimized Pr12Nd6Pb structure. Values from VASP.

Computed properties:
As for the magnetic moment: 0.0 μB per cell. As for the space group: R-3, No. 148.

```
&SYSTEM
  ibrav = 0, nat = 19, ntyp = 3
/
ATOMIC_SPECIES
Pr 140.91 Pr.upf
Nd 144.24 Nd.upf
Pb 207.20 Pb.upf
ATOMIC_POSITIONS angstrom
Pr -5.482 1.423 6.516
Pr -3.973 -4.036 9.127
Pr -2.124 -0.037 4.904
Pr 1.509 -5.459 6.516
Pr 1.094 -1.821 4.904
Pr 1.030 1.858 4.904
Pr -1.030 -1.858 10.739
Pr -1.094 1.821 10.739
Pr -1.509 5.459 9.127
Pr 2.124 0.037 10.739
Pr 3.973 4.036 6.516
Pr 5.482 -1.423 9.127
Nd -3.398 -0.825 8.123
Nd -0.984 -3.355 7.519
Nd -2.414 2.530 7.519
Nd 2.414 -2.530 8.123
Nd 0.984 3.355 8.123
Nd 3.398 0.825 7.519
Pb 0.000 0.000 7.821
CELL_PARAMETERS angstrom
6.138 3.544 5.214
-6.138 3.544 5.214
0.000 -7.088 5.214
```

=====

--- ii ---
Density functional theory data (PBE-GGA) for a geometry-optimized Pr12Nd6Pb structure. Values from VASP.

Computed properties:
As for the magnetic moment: 0.0 μB per cell. As for the space group: R-3, No. 148.

```
&SYSTEM
  ibrav = 0, nat = 19, ntyp = 3
/
ATOMIC_SPECIES
Pr 140.91 Pr.upf
Nd 144.24 Nd.upf
Pb 207.20 Pb.upf
ATOMIC_POSITIONS angstrom
Pr -5.000 0.878 4.351
Pr -2.767 -1.602 5.802
Pr 1.740 -4.769 4.351
Pr -3.260 -3.891 8.687
Pr -2.771 1.596 7.237
Pr 0.004 -3.198 7.237
Pr -0.004 3.198 5.802
Pr 2.771 -1.596 5.802
Pr 3.260 3.891 4.351
Pr -1.740 4.769 8.687
Pr 2.767 1.602 7.237
Pr 5.000 -0.878 8.687
Nd -0.016 -2.114 2.950
Nd -1.823 1.070 2.950
Nd 1.838 1.043 2.950
Nd -1.838 -1.043 10.088
Nd 1.823 -1.070 10.088
Nd 0.016 2.114 10.088
Pb 0.000 0.000 0.000
CELL_PARAMETERS angstrom
6.759 3.902 4.346
-6.759 3.902 4.346
0.000 -7.805 4.346
```

=====

Most stable to least stable, the ends of the list are i and ii.

=====

--- i ---
Density functional theory data (PBE-GGA) for a geometry-optimized PrNd2Pb2 structure. Values from VASP.

Computed properties:
As for the magnetic moment: 0.0 μB per cell. As for the space group: P6_3/mmc, No. 194.

```
&SYSTEM
  ibrav = 0, nat = 10, ntyp = 3
/
ATOMIC_SPECIES
Pr 140.91 Pr.upf
Nd 144.24 Nd.upf
Pb 207.20 Pb.upf
ATOMIC_POSITIONS angstrom
Pr 0.000 0.000 3.347
Pr 0.000 0.000 10.042
Nd 0.000 0.000 0.000
Nd 0.000 0.000 6.695
Nd 0.000 3.058 3.347
Nd 2.649 1.529 10.042
Pb 0.000 3.058 8.334
Pb 0.000 3.058 11.750
Pb 2.649 1.529 1.640
Pb 2.649 1.529 5.055
CELL_PARAMETERS angstrom
5.297 0.000 0.000
-2.649 4.588 0.000
0.000 0.000 13.389
```

=====

--- ii ---
Density functional theory data (PBE-GGA) for a geometry-optimized PrNd2Pb2 structure. Values from VASP.

Computed properties:
As for the magnetic moment: 0.0 μB per cell. As for the space group: P2_1/m, No. 11.

```
&SYSTEM
  ibrav = 0, nat = 10, ntyp = 3
/
ATOMIC_SPECIES
Pr 140.91 Pr.upf
Nd 144.24 Nd.upf
Pb 207.20 Pb.upf
ATOMIC_POSITIONS angstrom
Pr 0.517 0.912 3.195
Pr 3.270 2.735 11.455
Nd -0.855 2.735 14.523
Nd 0.304 0.912 8.616
Nd 3.483 2.735 6.034
Nd 4.642 0.912 0.127
Pb 0.353 2.735 5.914
Pb 0.248 0.912 11.881
Pb 3.539 2.735 2.768
Pb 3.434 0.912 8.736
CELL_PARAMETERS angstrom
6.259 0.000 0.000
0.000 3.646 0.000
-2.472 0.000 14.650
```

=====

Most stable to least stable, the ends of the list are ii and i.

=====

--- i ---
Density functional theory data (PBE-GGA) for a geometry-optimized Pr2Nd3Pb4 structure. Values from VASP.

Computed properties:
As for the magnetic moment: 0.0 μB per cell. As for the space group: P2_1/c, No. 14.

```
&SYSTEM
  ibrav = 0, nat = 18, ntyp = 3
/
ATOMIC_SPECIES
Pr 140.91 Pr.upf
Nd 144.24 Nd.upf
Pb 207.20 Pb.upf
ATOMIC_POSITIONS angstrom
Pr 1.524 1.568 0.465
Pr -0.019 2.774 4.362
Pr 5.648 5.909 3.432
Pr 4.105 7.115 7.329
Nd 1.388 5.756 1.827
Nd -0.155 7.269 5.724
Nd 2.814 0.000 3.897
Nd 4.357 4.342 0.000
Nd 5.783 1.414 2.070
Nd 4.240 2.927 5.967
Pb -1.812 4.661 6.448
Pb -0.269 8.364 2.550
Pb 1.589 1.205 6.727
Pb 3.132 3.137 2.830
Pb 2.496 5.546 4.964
Pb 4.039 7.478 1.067
Pb 5.898 0.319 5.244
Pb 7.441 4.023 1.347
CELL_PARAMETERS angstrom
8.714 0.000 0.000
0.000 8.683 0.000
-3.086 0.000 7.794
```

=====

--- ii ---
Density functional theory data (PBE-GGA) for a geometry-optimized Pr2Nd3Pb4 structure. Values from VASP.

Computed properties:
As for the magnetic moment: 0.0 μB per cell. As for the space group: Cmce, No. 64.

```
&SYSTEM
  ibrav = 0, nat = 18, ntyp = 3
/
ATOMIC_SPECIES
Pr 140.91 Pr.upf
Nd 144.24 Nd.upf
Pb 207.20 Pb.upf
ATOMIC_POSITIONS angstrom
Pr 3.664 6.910 8.459
Pr 3.664 1.964 3.808
Pr 3.664 -1.964 5.496
Pr 3.664 -6.910 0.844
Nd 0.000 0.000 4.652
Nd 1.832 3.647 6.978
Nd 1.832 -3.647 2.326
Nd 3.664 0.000 0.000
Nd 5.496 3.647 6.978
Nd 5.496 -3.647 2.326
Pb 3.664 5.598 5.182
Pb 1.832 0.502 6.978
Pb 1.832 -0.502 2.326
Pb 3.664 3.276 0.530
Pb 3.664 -3.276 8.774
Pb 5.496 0.502 6.978
Pb 5.496 -0.502 2.326
Pb 3.664 -5.598 4.122
CELL_PARAMETERS angstrom
3.664 -8.874 0.000
3.664 8.874 0.000
0.000 0.000 9.304
```

=====

Most stable to least stable, the ends of the list are i and ii.

=====

--- i ---
Density functional theory data (PBE-GGA) for a geometry-optimized Pr2NdPb3 structure. Values from VASP.

Computed properties:
As for the magnetic moment: 0.0 μB per cell. As for the space group: C2/c, No. 15.

```
&SYSTEM
  ibrav = 0, nat = 12, ntyp = 3
/
ATOMIC_SPECIES
Pr 140.91 Pr.upf
Nd 144.24 Nd.upf
Pb 207.20 Pb.upf
ATOMIC_POSITIONS angstrom
Pr 3.434 6.450 3.361
Pr 4.671 3.868 1.120
Pr 3.434 -3.868 3.361
Pr 4.671 -6.450 1.120
Nd 3.434 1.287 3.361
Nd 4.671 -1.287 1.120
Pb 1.408 3.870 2.240
Pb 2.654 1.283 0.005
Pb 1.418 -1.283 2.245
Pb 2.644 -3.870 0.000
Pb 6.687 1.283 2.235
Pb 5.451 -1.283 4.476
CELL_PARAMETERS angstrom
5.289 -7.739 0.000
5.289 7.739 0.000
-2.473 0.000 4.481
```

=====

--- ii ---
Density functional theory data (PBE-GGA) for a geometry-optimized Pr2NdPb3 structure. Values from VASP.

Computed properties:
As for the magnetic moment: 0.0 μB per cell. As for the space group: Cmmm, No. 65.

```
&SYSTEM
  ibrav = 0, nat = 12, ntyp = 3
/
ATOMIC_SPECIES
Pr 140.91 Pr.upf
Nd 144.24 Nd.upf
Pb 207.20 Pb.upf
ATOMIC_POSITIONS angstrom
Pr 0.000 0.000 0.000
Pr 0.000 0.000 4.640
Pr 2.544 2.587 0.000
Pr 2.544 -2.587 0.000
Nd 2.544 2.591 4.640
Nd 2.544 -2.591 4.640
Pb 2.544 5.169 2.331
Pb 2.544 5.169 6.950
Pb 2.544 0.000 2.329
Pb 2.544 0.000 6.951
Pb 2.544 -5.169 2.331
Pb 2.544 -5.169 6.950
CELL_PARAMETERS angstrom
2.544 -7.763 0.000
2.544 7.763 0.000
0.000 0.000 9.281
```

=====

Most stable to least stable, the ends of the list are ii and i.